ZrCr2Mo: optimized geometry, PBE-GGA.

## Properties
Crystal system: trigonal
SG: R3m

Lattice parameters (Å, degrees): 8.8374 8.8374 8.8374 18.78 18.78 18.78
Element x y z (fractional)
Zr1 0.0000 0.0000 0.0000
Cr1 0.2418 0.2418 0.2418
Cr2 0.5119 0.5119 0.5119
Mo1 0.7657 0.7657 0.7657

ZrCr2Mo: optimized geometry, PBE-GGA.

## Properties
Crystal system: trigonal
SG: R-3m

Lattice parameters (Å, degrees): 8.4021 8.4021 8.4021 20.46 20.46 20.46
Element x y z (fractional)
Zr1 0.0000 0.0000 0.0000
Cr1 0.2426 0.2426 0.2426
Cr2 0.7574 0.7574 0.7574
Mo1 0.5000 0.5000 0.5000

ZrCrMo: optimized geometry, PBE-GGA.

## Properties
Crystal system: monoclinic
SG: Cm

Lattice parameters (Å, degrees): 5.3291 5.3291 5.6683 120.61 120.61 48.05
Element x y z (fractional)
Zr1 0.0000 0.0000 0.0000
Zr2 0.6576 0.6576 0.8299
Cr1 0.3048 0.3048 0.6197
Cr2 0.6839 0.6839 0.3659
Mo1 0.3465 0.3465 0.1915
Mo2 0.9881 0.9881 0.4843

ZrCr2Mo: optimized geometry, PBE-GGA.

## Properties
Crystal system: orthorhombic
SG: Cmm2

Lattice parameters (Å, degrees): 2.7484 2.7484 8.6056 90.00 90.00 110.94
Element x y z (fractional)
Zr1 0.0000 0.0000 0.0000
Cr1 0.0000 0.0000 0.4724
Cr2 0.5000 0.5000 0.2698
Mo1 0.5000 0.5000 0.7080

Zr3CrMo: optimized geometry, PBE-GGA.

## Properties
Crystal system: cubic
SG: Pm-3m

Lattice parameters (Å, degrees): 4.9851 4.9851 4.9851 90.00 90.00 90.00
Element x y z (fractional)
Zr1 0.0000 0.0000 0.5000
Zr2 0.0000 0.5000 0.0000
Zr3 0.5000 0.0000 0.0000
Cr1 0.5000 0.5000 0.5000
Mo1 0.0000 0.0000 0.0000

ZrCrMo: optimized geometry, PBE-GGA.

## Properties
Crystal system: cubic
SG: F-43m

Lattice parameters (Å, degrees): 4.2772 4.2772 4.2772 60.00 60.00 60.00
Element x y z (fractional)
Zr1 0.0000 0.0000 0.0000
Cr1 0.2500 0.2500 0.2500
Mo1 0.5000 0.5000 0.5000

Zr2CrMo: optimized geometry, PBE-GGA.

## Properties
Crystal system: cubic
SG: Fm-3m

Lattice parameters (Å, degrees): 4.7265 4.7265 4.7265 60.00 60.00 60.00
Element x y z (fractional)
Zr1 0.2500 0.2500 0.2500
Zr2 0.7500 0.7500 0.7500
Cr1 0.0000 0.0000 0.0000
Mo1 0.5000 0.5000 0.5000

Zr2CrMo: optimized geometry, PBE-GGA.

## Properties
Crystal system: orthorhombic
SG: Imm2

Lattice parameters (Å, degrees): 5.5317 5.5317 5.5317 145.75 129.64 62.32
Element x y z (fractional)
Zr1 0.0000 0.0000 0.0000
Zr2 0.7294 0.2294 0.5000
Cr1 0.2624 0.7624 0.5000
Mo1 0.4620 0.4620 0.0000

Zr2CrMo: optimized geometry, PBE-GGA.

## Properties
Crystal system: monoclinic
SG: C2/m

Lattice parameters (Å, degrees): 5.3408 5.3408 2.9776 101.58 101.58 112.88
Element x y z (fractional)
Zr1 0.0000 0.5000 0.0000
Zr2 0.5000 0.0000 0.0000
Cr1 0.0000 0.0000 0.5000
Mo1 0.5000 0.5000 0.5000

ZrCrMo: optimized geometry, PBE-GGA.

## Properties
Crystal system: monoclinic
SG: C2/m

Lattice parameters (Å, degrees): 5.3184 5.3184 6.5494 108.64 108.64 34.35
Element x y z (fractional)
Zr1 0.1584 0.1584 0.0870
Zr2 0.8416 0.8416 0.9130
Cr1 0.4987 0.4987 0.7202
Cr2 0.5013 0.5013 0.2798
Mo1 0.1570 0.1570 0.5699
Mo2 0.8430 0.8430 0.4301

Zr2CrMo: optimized geometry, PBE-GGA.

## Properties
Crystal system: tetragonal
SG: P4/mmm

Lattice parameters (Å, degrees): 4.7137 4.7137 3.3140 90.00 90.00 90.00
Element x y z (fractional)
Zr1 0.0000 0.5000 0.0000
Zr2 0.5000 0.0000 0.0000
Cr1 0.0000 0.0000 0.5000
Mo1 0.5000 0.5000 0.5000

Zr2Cr2Mo: optimized geometry, PBE-GGA.

## Properties
Crystal system: tetragonal
SG: P4/mbm

Lattice parameters (Å, degrees): 6.1741 6.1741 4.5786 90.00 90.00 90.00
Element x y z (fractional)
Zr1 0.1785 0.3215 0.0000
Zr2 0.3215 0.8215 0.0000
Zr3 0.6785 0.1785 0.0000
Zr4 0.8215 0.6785 0.0000
Cr1 0.1244 0.6244 0.5000
Cr2 0.3756 0.1244 0.5000
Cr3 0.6244 0.8756 0.5000
Cr4 0.8756 0.3756 0.5000
Mo1 0.0000 0.0000 0.5000
Mo2 0.5000 0.5000 0.5000

ZrCrMo: optimized geometry, PBE-GGA.

## Properties
Crystal system: trigonal
SG: P3m1

Lattice parameters (Å, degrees): 3.0503 3.0503 6.3496 90.00 90.00 120.00
Element x y z (fractional)
Zr1 0.0000 0.0000 0.0000
Cr1 0.6667 0.3333 0.3500
Mo1 0.3333 0.6667 0.6210

Zr2CrMo: optimized geometry, PBE-GGA.

## Properties
Crystal system: monoclinic
SG: C2/m

Lattice parameters (Å, degrees): 5.2668 5.2668 4.8796 117.39 117.39 36.95
Element x y z (fractional)
Zr1 0.2415 0.2415 0.2415
Zr2 0.7585 0.7585 0.7585
Cr1 0.5000 0.5000 0.0000
Mo1 0.0000 0.0000 0.5000

ZrCr2Mo: optimized geometry, PBE-GGA.

## Properties
Crystal system: orthorhombic
SG: Cmmm

Lattice parameters (Å, degrees): 2.7640 2.7640 8.5634 90.00 90.00 111.17
Element x y z (fractional)
Zr1 0.0000 0.0000 0.0000
Cr1 0.5000 0.5000 0.2682
Cr2 0.5000 0.5000 0.7318
Mo1 0.0000 0.0000 0.5000

Zr2CrMo: optimized geometry, PBE-GGA.

## Properties
Crystal system: orthorhombic
SG: Cmmm

Lattice parameters (Å, degrees): 2.9618 2.9618 8.7183 90.00 90.00 111.40
Element x y z (fractional)
Zr1 0.0000 0.0000 0.2369
Zr2 0.0000 0.0000 0.7631
Cr1 0.5000 0.5000 0.0000
Mo1 0.5000 0.5000 0.5000

ZrCr2Mo2: optimized geometry, PBE-GGA.

## Properties
Crystal system: tetragonal
SG: I4/mmm

Lattice parameters (Å, degrees): 6.0114 6.0114 6.0114 141.07 141.07 56.24
Element x y z (fractional)
Zr1 0.0000 0.0000 0.0000
Cr1 0.2500 0.7500 0.5000
Cr2 0.7500 0.2500 0.5000
Mo1 0.3777 0.3777 0.0000
Mo2 0.6223 0.6223 0.0000

ZrCrMo: optimized geometry, PBE-GGA.

## Properties
Crystal system: orthorhombic
SG: Amm2

Lattice parameters (Å, degrees): 4.6812 5.4904 5.4904 45.47 90.00 90.00
Element x y z (fractional)
Zr1 0.0000 0.0000 0.0000
Zr2 0.5000 0.1754 0.1754
Cr1 0.5000 0.4797 0.4797
Cr2 0.5000 0.8524 0.8524
Mo1 0.0000 0.3331 0.3331
Mo2 0.0000 0.6846 0.6846

Zr2CrMo: optimized geometry, PBE-GGA.

## Properties
Crystal system: monoclinic
SG: Pm

Lattice parameters (Å, degrees): 3.0931 4.1794 5.8050 90.00 103.50 90.00
Element x y z (fractional)
Zr1 0.0000 0.0000 0.0000
Zr2 0.3034 0.5000 0.6956
Cr1 0.7492 0.5000 0.2491
Mo1 0.5700 0.0000 0.4424

ZrCrMo: optimized geometry, PBE-GGA.

## Properties
Crystal system: cubic
SG: F-43m

Lattice parameters (Å, degrees): 4.4569 4.4569 4.4569 60.00 60.00 60.00
Element x y z (fractional)
Zr1 0.0000 0.0000 0.0000
Cr1 0.7500 0.7500 0.7500
Mo1 0.2500 0.2500 0.2500

ZrCr2Mo: optimized geometry, PBE-GGA.

## Properties
Crystal system: tetragonal
SG: I-4m2

Lattice parameters (Å, degrees): 5.3359 5.3359 5.3359 140.09 140.09 57.72
Element x y z (fractional)
Zr1 0.0000 0.0000 0.0000
Cr1 0.2500 0.7500 0.5000
Cr2 0.5000 0.5000 0.0000
Mo1 0.7500 0.2500 0.5000

ZrCrMo: optimized geometry, PBE-GGA.

## Properties
Crystal system: orthorhombic
SG: Fmmm

Lattice parameters (Å, degrees): 6.2518 5.2478 4.9961 75.18 54.24 50.58
Element x y z (fractional)
Zr1 0.1670 0.8330 0.1670
Zr2 0.8330 0.1670 0.8330
Cr1 0.2500 0.2500 0.2500
Cr2 0.7500 0.7500 0.7500
Mo1 0.3380 0.3380 0.6620
Mo2 0.6620 0.6620 0.3380

ZrCrMo3: optimized geometry, PBE-GGA.

## Properties
Crystal system: cubic
SG: Pm-3m

Lattice parameters (Å, degrees): 4.7164 4.7164 4.7164 90.00 90.00 90.00
Element x y z (fractional)
Zr1 0.0000 0.0000 0.0000
Cr1 0.5000 0.5000 0.5000
Mo1 0.0000 0.0000 0.5000
Mo2 0.0000 0.5000 0.0000
Mo3 0.5000 0.0000 0.0000

Zr2CrMo: optimized geometry, PBE-GGA.

## Properties
Crystal system: orthorhombic
SG: Cmm2

Lattice parameters (Å, degrees): 2.9241 2.9241 9.2142 90.00 90.00 112.80
Element x y z (fractional)
Zr1 0.0000 0.0000 0.0000
Zr2 0.5000 0.5000 0.3095
Cr1 0.5000 0.5000 0.7641
Mo1 0.0000 0.0000 0.5679

ZrCr2Mo: optimized geometry, PBE-GGA.

## Properties
Crystal system: tetragonal
SG: P4/mmm

Lattice parameters (Å, degrees): 4.4071 4.4071 3.1124 90.00 90.00 90.00
Element x y z (fractional)
Zr1 0.0000 0.0000 0.0000
Cr1 0.0000 0.5000 0.5000
Cr2 0.5000 0.0000 0.5000
Mo1 0.5000 0.5000 0.0000

ZrCr2Mo: optimized geometry, PBE-GGA.

## Properties
Crystal system: monoclinic
SG: P2/m

Lattice parameters (Å, degrees): 2.8771 4.1576 5.3692 90.00 102.18 90.00
Element x y z (fractional)
Zr1 0.0000 0.0000 0.0000
Cr1 0.2378 0.5000 0.6983
Cr2 0.7622 0.5000 0.3017
Mo1 0.5000 0.0000 0.5000

ZrCr2Mo: optimized geometry, PBE-GGA.

## Properties
Crystal system: tetragonal
SG: P4/mmm

Lattice parameters (Å, degrees): 3.0954 3.0954 6.3606 90.00 90.00 90.00
Element x y z (fractional)
Zr1 0.0000 0.0000 0.0000
Cr1 0.5000 0.5000 0.2726
Cr2 0.5000 0.5000 0.7274
Mo1 0.0000 0.0000 0.5000

ZrCrMo: optimized geometry, PBE-GGA.

## Properties
Crystal system: triclinic
SG: P-1

Lattice parameters (Å, degrees): 3.0244 4.8943 7.1468 74.81 84.05 80.60
Element x y z (fractional)
Zr1 0.1799 0.2908 0.3822
Zr2 0.8201 0.7092 0.6178
Cr1 0.1762 0.7132 0.9529
Cr2 0.8238 0.2868 0.0471
Mo1 0.4531 0.1763 0.7933
Mo2 0.5469 0.8237 0.2067

ZrCr2Mo: optimized geometry, PBE-GGA.

## Properties
Crystal system: monoclinic
SG: C2/m

Lattice parameters (Å, degrees): 5.0545 5.0545 2.7913 100.95 100.95 114.65
Element x y z (fractional)
Zr1 0.0000 0.0000 0.0000
Cr1 0.0000 0.5000 0.5000
Cr2 0.5000 0.0000 0.5000
Mo1 0.5000 0.5000 0.0000

ΔH_f (0 K) (eV per atom)
0.438, 0.477, 0.149, 0.221, 1.301, 0.568, 0.106, 0.086, 0.276, 0.126, 0.109, 0.179, 0.373, 0.267, 0.268, 0.262, 0.458, 0.182, 0.196, 1.269, 0.386, 0.245, 2.477, 0.198, 0.180, 0.236, 0.129, 0.150, 0.277
DOS at the Fermi energy (states/eV per atom)
1.2253, 1.2681, 0.9958, 0.8160, 1.7205, 1.3704, 0.9317, 1.2551, 1.2585, 1.1859, 1.2077, 0.8107, 1.0458, 1.4039, 0.8470, 1.2756, 1.1873, 1.0107, 1.1284, 1.1506, 1.0921, 1.3305, 2.6232, 1.1130, 1.2327, 1.0607, 1.0877, 1.0199, 0.9239